No. 1
A plane-wave DFT calculation with PBE-GGA was carried out for a relaxed structure of Pr5Tc2H12.

Values from the calculation:
Its density of states at the Fermi level is 8.46 states/eV/cell. The calculation puts the total energy at -91.9 eV for the cell shown.

Lattice parameters (Å, degrees): 6.6095 6.6095 7.5356 103.98 103.98 52.52
Last column: nearest neighbours and their distance in Å.
Element x y z (fractional)
Pr1 0.0000 0.0000 0.0000  6 H 2.38-2.53
Pr2 0.3093 0.3093 0.6618  7 H 2.23-2.41
Pr3 0.3378 0.3378 0.1521  7 H 2.24-2.41
Pr4 0.6622 0.6622 0.8479  7 H 2.24-2.41
Pr5 0.6907 0.6907 0.3382  7 H 2.23-2.41
Tc1 0.2303 0.7697 0.5000  6 H 1.81-1.88
Tc2 0.7697 0.2303 0.5000  6 H 1.81-1.88
H1 0.0136 0.0136 0.3411  2 Tc 1.84
H2 0.0681 0.5939 0.9076  4 Pr 2.37-2.38
H3 0.1104 0.5761 0.4177  1 Tc 1.81
H4 0.4061 0.9319 0.0924  4 Pr 2.37-2.38
H5 0.4239 0.8896 0.5823  1 Tc 1.81
H6 0.4913 0.4913 0.6305  2 Tc 1.88, 1 H 2.03
H7 0.5087 0.5087 0.3695  2 Tc 1.88, 1 H 2.03
H8 0.5761 0.1104 0.4177  1 Tc 1.81
H9 0.5939 0.0681 0.9076  4 Pr 2.37-2.38
H10 0.8896 0.4239 0.5823  1 Tc 1.81
H11 0.9319 0.4061 0.0924  4 Pr 2.37-2.38
H12 0.9864 0.9864 0.6589  2 Tc 1.84

***

No. 2
A plane-wave DFT calculation with PBE-GGA was carried out for a relaxed structure of SmLu2Bi.

Values from the calculation:
Its density of states at the Fermi level is 3.48 states/eV/cell. The calculation puts the total energy at -17.4 eV for the cell shown.

Lattice parameters (Å, degrees): 12.0434 12.0434 12.0434 16.85 16.85 16.85
Last column: nearest neighbours and their distance in Å.
Element x y z (fractional)
Sm1 0.0000 0.0000 0.0000  6 Lu 3.48, 6 Sm 3.53
Lu1 0.4124 0.4124 0.4124  1 Bi 3.12, 3 Sm 3.48
Lu2 0.5876 0.5876 0.5876  1 Bi 3.12, 3 Sm 3.48
Bi1 0.5000 0.5000 0.5000  2 Lu 3.12

***

No. 3
A plane-wave DFT calculation with PBE-GGA was carried out for a relaxed structure of La3Ge7Ir2.

Values from the calculation:
Its density of states at the Fermi level is 6.63 states/eV/cell. The calculation puts the total energy at -73.4 eV for the cell shown.

Lattice parameters (Å, degrees): 4.3937 4.4200 13.4114 90.00 99.39 90.00
Last column: nearest neighbours and their distance in Å.
Element x y z (fractional)
La1 0.0000 0.0000 0.0000  12 Ge 3.12-3.17, 2 Ir 3.43
La2 0.3170 0.5000 0.6351  10 Ge 3.29-3.38, 4 Ir 3.41-3.42
La3 0.6830 0.5000 0.3649  10 Ge 3.29-3.38, 4 Ir 3.41-3.42
Ge1 0.0868 0.5000 0.1715  2 Ir 2.50
Ge2 0.2221 0.0000 0.4445  1 Ir 2.45, 2 Ge 2.64
Ge3 0.4153 0.0000 0.8284  2 Ir 2.48-2.49
Ge4 0.5000 0.5000 0.0000  4 La 3.12, 8 Ge 3.15-3.17
Ge5 0.5847 0.0000 0.1716  2 Ir 2.48-2.49
Ge6 0.7779 0.0000 0.5555  1 Ir 2.45, 2 Ge 2.64
Ge7 0.9132 0.5000 0.8285  2 Ir 2.50
Ir1 0.1279 0.0000 0.2592  5 Ge 2.45-2.50
Ir2 0.8721 0.0000 0.7408  5 Ge 2.45-2.50

***

No. 4
A plane-wave DFT calculation with PBE-GGA was carried out for a relaxed structure of CePuThTl.

Values from the calculation:
Its density of states at the Fermi level is 14.30 states/eV/cell. The calculation puts the total energy at -29.5 eV for the cell shown.

Lattice parameters (Å, degrees): 5.4381 5.4381 5.4381 60.00 60.00 60.00
Last column: nearest neighbours and their distance in Å.
Element x y z (fractional)
Ce1 0.0000 0.0000 0.0000  4 Tl 3.33, 4 Th 3.33
Pu1 0.5000 0.5000 0.5000  4 Th 3.33, 4 Tl 3.33
Th1 0.7500 0.7500 0.7500  4 Pu 3.33, 4 Ce 3.33
Tl1 0.2500 0.2500 0.2500  4 Pu 3.33, 4 Ce 3.33

***

| no. | total magnetic moment (μB per cell) |
| --- | --- |
| 1 | 0.0 |
| 2 | 0.0 |
| 3 | 0.0 |
| 4 | 7.8 |